# 1
VASP calculation (PBE-GGA) on a relaxed YBeV2 crystal.

Cell lengths 4.097, 4.097, 9.513 Å; angles 77.57, 77.57, 90.00 degrees
Fractional positions:
Y (0.000, 0.000, 0.000)
Y (0.750, 0.250, 0.500)
Be (0.500, 0.500, 0.000)
Be (0.250, 0.750, 0.500)
V (0.375, 0.125, 0.250)
V (0.375, 0.625, 0.250)
V (0.375, 0.625, 0.750)
V (0.875, 0.625, 0.750)

## Properties
As for the total magnetization: 0.00 μB/cell. The value obtained for the energy of formation is 621 meV per atom.

# 2
VASP calculation (PBE-GGA) on a relaxed Y2BeV crystal.

Cell lengths 4.331, 4.331, 10.341 Å; angles 77.91, 77.91, 90.00 degrees
Fractional positions:
Y (0.618, 0.125, 0.250)
Y (0.132, 0.625, 0.250)
Y (0.375, 0.382, 0.750)
Y (0.875, 0.868, 0.750)
Be (0.500, 0.500, 0.000)
Be (0.250, 0.750, 0.500)
V (0.000, 0.000, 0.000)
V (0.750, 0.250, 0.500)

## Properties
As for the total magnetization: 4.65 μB/cell. The value obtained for the energy of formation is 989 meV per atom.

# 3
VASP calculation (PBE-GGA) on a relaxed YBe3V crystal.

Cell lengths 4.325, 4.325, 4.325 Å; angles 90.00, 90.00, 90.00 degrees
Fractional positions:
Y (0.500, 0.500, 0.500)
Be (0.000, 0.500, 0.000)
Be (0.000, 0.000, 0.500)
Be (0.500, 0.000, 0.000)
V (0.000, 0.000, 0.000)

## Properties
As for the total magnetization: 2.18 μB/cell. The value obtained for the energy of formation is 592 meV per atom.

# 4
VASP calculation (PBE-GGA) on a relaxed Y2BeV2 crystal.

Cell lengths 3.324, 3.324, 9.569 Å; angles 80.00, 80.00, 90.00 degrees
Fractional positions:
Y (0.405, 0.405, 0.190)
Y (0.595, 0.595, 0.810)
Be (0.000, 0.000, 0.000)
V (0.750, 0.250, 0.500)
V (0.250, 0.750, 0.500)

## Properties
As for the total magnetization: 0.00 μB/cell. Its relative energy among the computed polymorphs is 0 meV per atom. The value obtained for the energy of formation is 468 meV per atom.